[1]
Material: Sm3DyEr2As6
Method: DFT, PBE
State: optimized geometry

For the energy of formation from the pure elements, the calculation gives -1.523 eV/atom. The volume comes out at 608.74 Å³/cell. As for the electronic total energy: -6.171 eV/atom.

The structure belongs to space group C2/m (No. 12); the cell edges are 7.1989, 12.4660 and 7.1940 Å and the angles 90.00°, 109.46° and 90.00°. The asymmetric unit holds Sm at (0.0000, 0.0000, 0.0000), Sm at (0.0000, 0.3336, 0.0000), Dy at (0.0000, 0.5000, 0.5000), Er at (0.0000, 0.1668, 0.5000), As at (0.2463, 0.0000, 0.7424) and As at (0.2481, 0.3327, 0.7426).

---

[2]
Material: Ca2SiPd3
Method: DFT, PBE
State: optimized geometry

The volume comes out at 530.54 Å³/cell. As for the electronic total energy: -4.798 eV/atom. The calculation puts the formation energy without anion corrections at -60.8 kJ/mol of atoms.

The structure belongs to space group Cmcm (No. 63); the cell edges are 11.5532, 8.5568 and 5.3666 Å and the angles 90.00°, 90.00° and 90.00°. The asymmetric unit holds Ca at (0.1571, 0.1772, 0.2500), Si at (0.0000, 0.3489, 0.7500), Pd at (0.0000, 0.0810, 0.7500) and Pd at (0.1318, 0.5000, 0.0000).